# 1
# SmTm15Sc4 | Alexandria | GGA-PBE | relaxed
data_SmTm15Sc4
_space_group_name_H-M_alt 'P 4/m m m'
_space_group_IT_number 123
_space_group_name_Hall '-P 4 2'
_cell_length_a 4.8766
_cell_length_b 4.8766
_cell_length_c 24.3959
_cell_angle_alpha 90.00
_cell_angle_beta 90.00
_cell_angle_gamma 90.00
loop_
_atom_site_label
_atom_site_fract_x
_atom_site_fract_y
_atom_site_fract_z
Sm1 0.0000 0.0000 0.0000
Tm1 0.0000 0.5000 0.1040
Tm2 0.0000 0.5000 0.3020
Tm3 0.0000 0.5000 0.5000
Tm4 0.5000 0.5000 0.0000
Tm5 0.5000 0.5000 0.2035
Tm6 0.5000 0.5000 0.4010
Sc1 0.0000 0.0000 0.2027
Sc2 0.0000 0.0000 0.4011
# size of the total moment: 0.0 μB per formula unit
# energy: -96.267 eV for the cell shown


# 2
# Sm5Tm3Sc2 | Alexandria | GGA-PBE | relaxed
data_Sm5Tm3Sc2
_space_group_name_H-M_alt 'C 1 2/c 1'
_space_group_IT_number 15
_space_group_name_Hall '-C 2yc'
_cell_length_a 10.6547
_cell_length_b 15.6159
_cell_length_c 9.3049
_cell_angle_alpha 90.00
_cell_angle_beta 124.78
_cell_angle_gamma 90.00
loop_
_atom_site_label
_atom_site_fract_x
_atom_site_fract_y
_atom_site_fract_z
Sm1 0.0000 0.0141 0.2500
Sm2 0.0000 0.2152 0.2500
Sm3 0.0000 0.4785 0.7500
Sm4 0.2427 0.3563 0.2293
Tm1 0.0000 0.2835 0.7500
Tm2 0.1532 0.3702 0.5485
Sc1 0.1444 0.1371 0.0469
# size of the total moment: 0.0 μB per formula unit
# energy: -191.166 eV for the cell shown


# 3
# SmTm3Sc | Alexandria | GGA-PBE | relaxed
data_SmTm3Sc
_space_group_name_H-M_alt 'P 1 21/c 1'
_space_group_IT_number 14
_space_group_name_Hall '-P 2ybc'
_cell_length_a 8.9711
_cell_length_b 6.1287
_cell_length_c 11.9615
_cell_angle_alpha 90.00
_cell_angle_beta 114.75
_cell_angle_gamma 90.00
loop_
_atom_site_label
_atom_site_fract_x
_atom_site_fract_y
_atom_site_fract_z
Sm1 0.1485 0.1720 0.0972
Tm1 0.0529 0.6630 0.2037
Tm2 0.3547 0.1700 0.9036
Tm3 0.4487 0.6632 0.7980
Sc1 0.2531 0.6662 0.9997
# size of the total moment: 0.0 μB per formula unit
# energy: -97.575 eV for the cell shown


# 4
# Sm2Tm3Sc2 | Alexandria | GGA-PBE | relaxed
data_Sm2Tm3Sc2
_space_group_name_H-M_alt 'C m m m'
_space_group_IT_number 65
_space_group_name_Hall '-C 2 2'
_cell_length_a 5.1599
_cell_length_b 23.2178
_cell_length_c 3.4509
_cell_angle_alpha 90.00
_cell_angle_beta 90.00
_cell_angle_gamma 90.00
loop_
_atom_site_label
_atom_site_fract_x
_atom_site_fract_y
_atom_site_fract_z
Sm1 0.0000 0.0760 0.0000
Tm1 0.0000 0.3429 0.5000
Tm2 0.0000 0.5000 0.5000
Sc1 0.0000 0.2167 0.0000
# size of the total moment: 0.0 μB per formula unit
# energy: -70.565 eV for the cell shown


# 5
# Sm2Tm5Sc5 | Alexandria | GGA-PBE | relaxed
data_Sm2Tm5Sc5
_space_group_name_H-M_alt 'C 1 2/m 1'
_space_group_IT_number 12
_space_group_name_Hall '-C 2y'
_cell_length_a 14.5182
_cell_length_b 4.8084
_cell_length_c 10.8402
_cell_angle_alpha 90.00
_cell_angle_beta 116.62
_cell_angle_gamma 90.00
loop_
_atom_site_label
_atom_site_fract_x
_atom_site_fract_y
_atom_site_fract_z
Sm1 0.0824 0.0000 0.2520
Tm1 0.0000 0.0000 0.5000
Tm2 0.1653 0.0000 0.9987
Tm3 0.2468 0.0000 0.7458
Sc1 0.0000 0.5000 0.0000
Sc2 0.0833 0.5000 0.7483
Sc3 0.1671 0.5000 0.5013
# size of the total moment: 0.0 μB per formula unit
# energy: -125.649 eV for the cell shown


# 6
# Sm3Tm8Sc2 | Alexandria | GGA-PBE | relaxed
data_Sm3Tm8Sc2
_space_group_name_H-M_alt 'C 1 2/m 1'
_space_group_IT_number 12
_space_group_name_Hall '-C 2y'
_cell_length_a 19.3698
_cell_length_b 7.6430
_cell_length_c 5.5152
_cell_angle_alpha 90.00
_cell_angle_beta 90.02
_cell_angle_gamma 90.00
loop_
_atom_site_label
_atom_site_fract_x
_atom_site_fract_y
_atom_site_fract_z
Sm1 0.0000 0.0000 0.0000
Sm2 0.0000 0.2921 0.5000
Tm1 0.1141 0.2909 0.0003
Tm2 0.1363 0.0000 0.4999
Tm3 0.1775 0.5000 0.5006
Sc1 0.2404 0.0000 0.9994
# size of the total moment: 0.0 μB per formula unit
# energy: -118.604 eV for the cell shown


Result set for DFT formation energy: 0.04 0.19 0.01 0.03 0.05 0.25 eV/atom, one per record in the order listed.
Result set for DOS at the Fermi energy: 1.557 1.629 1.663 1.532 1.602 1.520 states/eV/atom, one per record in the order listed.